VASP calculation (PBE) on a geometry-optimized ThBeAl2Ni4 structure.

Cell: 8.515 8.515 8.515 Å, 27.15 27.15 27.15°
Fractional coordinates of all 8 atoms:
1 Th 0.000 0.000 0.000
2 Be 0.500 0.500 0.500
3 Al 0.233 0.233 0.233
4 Al 0.767 0.767 0.767
5 Ni 0.135 0.135 0.135
6 Ni 0.408 0.408 0.408
7 Ni 0.592 0.592 0.592
8 Ni 0.865 0.865 0.865

Results
Raw total energy, eV for the cell shown: -45.939
M_tot, μB/cell: 0.00
Calculated formation energy, eV per atom: -0.523